1.
Computed, not measured: a relaxed SrTi6O12 crystal at the PBE-GGA level of DFT.

a b c (Å): 6.2134 6.2134 6.2134
angles (deg): 105.98 105.98 105.98
Each line ends with the local moment (μB).
Element x y z (fractional)
Sr  0.0000  0.0000  0.0000  0.06
Ti  0.6205  0.2412  0.2412  0.31
Ti  0.2412  0.2412  0.6205  0.31
Ti  0.2412  0.6205  0.2412  0.31
Ti  0.7588  0.7588  0.3795  0.31
Ti  0.3795  0.7588  0.7588  0.31
Ti  0.7588  0.3795  0.7588  0.31
O  0.8779  0.1221  0.5000  -0.02
O  0.8197  0.5548  0.5548  -0.02
O  0.5548  0.5548  0.8197  -0.02
O  0.4452  0.1803  0.4452  -0.02
O  0.4452  0.4452  0.1803  -0.02
O  0.1803  0.4452  0.4452  -0.02
O  0.1221  0.5000  0.8779  -0.02
O  0.5000  0.8779  0.1221  -0.02
O  0.1221  0.8779  0.5000  -0.02
O  0.8779  0.5000  0.1221  -0.02
O  0.5000  0.1221  0.8779  -0.02
O  0.5548  0.8197  0.5548  -0.02

2.
Computed, not measured: a relaxed SrTi6O12 crystal at the PBE-GGA level of DFT.

a b c (Å): 6.2101 6.2101 6.2101
angles (deg): 105.16 105.16 105.16
Element x y z (fractional)
Sr  0.0000  0.0000  0.0000
Ti  0.1814  0.2824  0.5959
Ti  0.7176  0.4041  0.8186
Ti  0.4041  0.8186  0.7176
Ti  0.8186  0.7176  0.4041
Ti  0.2824  0.5959  0.1814
Ti  0.5959  0.1814  0.2824
O  0.4190  0.1805  0.4925
O  0.1805  0.4925  0.4190
O  0.4925  0.4190  0.1805
O  0.5810  0.8195  0.5075
O  0.8195  0.5075  0.5810
O  0.5075  0.5810  0.8195
O  0.1303  0.9287  0.6453
O  0.3547  0.8697  0.0713
O  0.0713  0.3547  0.8697
O  0.8697  0.0713  0.3547
O  0.6453  0.1303  0.9287
O  0.9287  0.6453  0.1303

Structures ranked by computed energy, the most stable listed first: 2, 1.

1.
Computed, not measured: a relaxed SrTi4O8 crystal at the PBE-GGA level of DFT.

a b c (Å): 5.9614 5.9614 6.7029
angles (deg): 102.10 103.70 119.87
Each line ends with the local moment (μB).
Element x y z (fractional)
Sr  0.0000  0.5000  0.5000  0.01
Ti  0.2498  0.2498  0.0000  0.50
Ti  0.7502  0.7502  0.0000  0.50
Ti  0.2725  0.7714  0.0439  0.40
Ti  0.7275  0.2286  0.9561  0.40
O  0.6838  0.0187  0.1781  0.00
O  0.1594  0.4943  0.1781  0.00
O  0.6737  0.4910  0.1646  0.00
O  0.1730  0.0089  0.1819  0.00
O  0.8270  0.9911  0.8181  0.00
O  0.3263  0.5090  0.8354  0.00
O  0.8406  0.5057  0.8219  0.00
O  0.3162  0.9813  0.8219  0.00

2.
Computed, not measured: a relaxed SrTi4O8 crystal at the PBE-GGA level of DFT.

a b c (Å): 5.9399 5.9399 6.9613
angles (deg): 64.75 64.75 60.00
Each line ends with the local moment (μB).
Element x y z (fractional)
Sr  0.5000  0.5000  0.5000  0.00
Ti  0.0000  0.5000  0.0000  0.17
Ti  0.5000  0.5000  0.0000  0.17
Ti  0.5000  0.0000  0.0000  0.17
Ti  0.0000  0.0000  0.0000  0.50
O  0.7209  0.2296  0.8200  0.00
O  0.7704  0.2791  0.1800  0.00
O  0.2791  0.7704  0.1800  0.00
O  0.7704  0.7704  0.1800  0.00
O  0.7221  0.7221  0.8336  0.00
O  0.2779  0.2779  0.1664  0.00
O  0.2296  0.2296  0.8200  0.00
O  0.2296  0.7209  0.8200  0.00

Structures ranked by computed energy, the most stable listed first: 1, 2.

1.
Computed, not measured: a relaxed SrTiO2 crystal at the PBE-GGA level of DFT.

a b c (Å): 6.6359 6.6359 6.6359
angles (deg): 31.65 31.65 31.65
Element x y z (fractional)
Sr  0.5000  0.5000  0.5000
O  0.9032  0.9032  0.9032
O  0.0968  0.0968  0.0968
Ti  0.0000  0.0000  0.0000

2.
Computed, not measured: a relaxed SrTiO2 crystal at the PBE-GGA level of DFT.

a b c (Å): 4.1655 4.1655 4.1655
angles (deg): 60.00 60.00 60.00
Each line ends with the local moment (μB).
Element x y z (fractional)
Sr  0.5000  0.5000  0.5000  0.12
O  0.2500  0.2500  0.2500  -0.05
O  0.7500  0.7500  0.7500  -0.05
Ti  0.0000  0.0000  0.0000  1.70

3.
Computed, not measured: a relaxed SrTiO2 crystal at the PBE-GGA level of DFT.

a b c (Å): 6.8337 6.8337 6.8337
angles (deg): 27.70 27.70 27.70
Each line ends with the local moment (μB).
Element x y z (fractional)
Sr  0.0000  0.0000  0.0000  -0.14
O  0.8800  0.8800  0.8800  -0.01
O  0.1200  0.1200  0.1200  -0.01
Ti  0.5000  0.5000  0.5000  0.60

Structures ranked by computed energy, the most stable listed first: 1, 3, 2.

1.
Computed, not measured: a relaxed Sr3ZrTi2O9 crystal at the PBE-GGA level of DFT.

a b c (Å): 5.6878 5.6878 6.9939
angles (deg): 90.00 90.00 120.00
Element x y z (fractional)
Sr  0.3333  0.6667  0.6783
Sr  0.0000  0.0000  0.0000
Sr  0.6667  0.3333  0.3217
Zr  0.0000  0.0000  0.5000
Ti  0.3333  0.6667  0.1617
Ti  0.6667  0.3333  0.8383
O  0.8283  0.1717  0.6756
O  0.8283  0.6566  0.6756
O  0.3434  0.1717  0.6756
O  0.6566  0.8283  0.3244
O  0.1717  0.3434  0.3244
O  0.1717  0.8283  0.3244
O  0.5000  0.0000  0.0000
O  0.0000  0.5000  0.0000
O  0.5000  0.5000  0.0000

2.
Computed, not measured: a relaxed Sr3ZrTi2O9 crystal at the PBE-GGA level of DFT.

a b c (Å): 5.6940 5.6940 12.6457
angles (deg): 77.20 77.20 90.77
Element x y z (fractional)
Sr  0.4196  0.9209  0.1600
Sr  0.0791  0.5804  0.8400
Sr  0.7517  0.2483  0.5000
Sr  0.5804  0.0791  0.8400
Sr  0.2483  0.7517  0.5000
Sr  0.9209  0.4196  0.1600
Zr  0.3342  0.3342  0.3338
Zr  0.6658  0.6658  0.6662
Ti  0.5000  0.5000  0.0000
Ti  0.8346  0.8346  0.3284
Ti  0.1654  0.1654  0.6716
Ti  0.0000  0.0000  0.0000
O  0.6178  0.6178  0.8406
O  0.2902  0.2902  0.5063
O  0.9554  0.9554  0.1631
O  0.3822  0.3822  0.1594
O  0.0446  0.0446  0.8369
O  0.7098  0.7098  0.4937
O  0.2607  0.2607  0.9774
O  0.9374  0.9374  0.6411
O  0.6081  0.6081  0.3015
O  0.7393  0.7393  0.0226
O  0.3919  0.3919  0.6985
O  0.0626  0.0626  0.3589
O  0.2495  0.7505  0.0000
O  0.5941  0.0779  0.3311
O  0.9221  0.4059  0.6689
O  0.7505  0.2495  0.0000
O  0.0779  0.5941  0.3311
O  0.4059  0.9221  0.6689

Structures ranked by computed energy, the most stable listed first: 2, 1.

1.
Computed, not measured: a relaxed Sr5ZrTi4O15 crystal at the PBE-GGA level of DFT.

a b c (Å): 4.0122 4.0122 19.9108
angles (deg): 90.00 90.00 90.00
Element x y z (fractional)
Sr  0.5000  0.5000  0.1097
Sr  0.5000  0.5000  0.3044
Sr  0.5000  0.5000  0.5000
Sr  0.5000  0.5000  0.6956
Sr  0.5000  0.5000  0.8903
Zr  0.0000  0.0000  0.0000
Ti  0.0000  0.0000  0.2052
Ti  0.0000  0.0000  0.4018
Ti  0.0000  0.0000  0.5982
Ti  0.0000  0.0000  0.7948
O  0.0000  0.0000  0.1081
O  0.0000  0.0000  0.3040
O  0.0000  0.0000  0.5000
O  0.0000  0.0000  0.6960
O  0.0000  0.0000  0.8919
O  0.0000  0.5000  0.0000
O  0.0000  0.5000  0.2056
O  0.0000  0.5000  0.4020
O  0.0000  0.5000  0.5980
O  0.0000  0.5000  0.7944
O  0.5000  0.0000  0.0000
O  0.5000  0.0000  0.2056
O  0.5000  0.0000  0.4020
O  0.5000  0.0000  0.5980
O  0.5000  0.0000  0.7944

2.
Computed, not measured: a relaxed Sr5ZrTi4O15 crystal at the PBE-GGA level of DFT.

a b c (Å): 14.3834 14.3834 4.0170
angles (deg): 90.00 90.00 157.38
Element x y z (fractional)
Sr  0.8946  0.1054  0.5000
Sr  0.7008  0.2992  0.5000
Sr  0.2992  0.7008  0.5000
Sr  0.5000  0.5000  0.5000
Sr  0.1054  0.8946  0.5000
Zr  0.0000  0.0000  0.0000
Ti  0.6025  0.3975  0.0000
Ti  0.2011  0.7989  0.0000
Ti  0.7989  0.2011  0.0000
Ti  0.3975  0.6025  0.0000
O  0.6017  0.9051  0.0000
O  0.3983  0.0949  0.0000
O  0.0000  0.5000  0.0000
O  0.2083  0.3142  0.0000
O  0.7917  0.6858  0.0000
O  0.7989  0.2011  0.5000
O  0.6045  0.3955  0.5000
O  0.2011  0.7989  0.5000
O  0.3955  0.6045  0.5000
O  0.0000  0.0000  0.5000
O  0.0949  0.3983  0.0000
O  0.9051  0.6017  0.0000
O  0.5000  0.0000  0.0000
O  0.6858  0.7917  0.0000
O  0.3142  0.2083  0.0000

Structures ranked by computed energy, the most stable listed first: 2, 1.

1.
Computed, not measured: a relaxed Sr2TlO4 crystal at the PBE-GGA level of DFT.

a b c (Å): 4.2914 4.2914 7.0643
angles (deg): 72.32 72.32 90.00
Each line ends with the local moment (μB).
Element x y z (fractional)
Sr  0.3575  0.3575  0.2851  0.01
Sr  0.6425  0.6425  0.7149  0.01
Tl  0.0000  0.0000  0.0000  0.07
O  0.1725  0.1725  0.6550  0.20
O  0.8275  0.8275  0.3450  0.20
O  0.0000  0.5000  0.0000  0.12
O  0.5000  0.0000  0.0000  0.12

2.
Computed, not measured: a relaxed Sr2TlO4 crystal at the PBE-GGA level of DFT.

a b c (Å): 6.8359 5.7372 7.6446
angles (deg): 90.00 118.72 90.00
Each line ends with the local moment (μB).
Element x y z (fractional)
Sr  0.6833  0.7500  0.0235  0.01
Sr  0.3167  0.2500  0.9765  0.01
Sr  0.1635  0.2500  0.4627  -0.01
Sr  0.8365  0.7500  0.5373  -0.01
Tl  0.2198  0.7500  0.1891  -0.01
Tl  0.7802  0.2500  0.8109  -0.01
O  0.5230  0.5483  0.2336  0.42
O  0.9501  0.7500  0.8848  -0.01
O  0.0499  0.2500  0.1152  -0.01
O  0.5230  0.9517  0.2336  0.42
O  0.9521  0.2500  0.6388  0.01
O  0.4770  0.0483  0.7664  0.42
O  0.4770  0.4517  0.7664  0.42
O  0.0479  0.7500  0.3612  0.01

Structures ranked by computed energy, the most stable listed first: 1, 2.

1.
Computed, not measured: a relaxed Sr2Tl2O5 crystal at the PBE-GGA level of DFT.

a b c (Å): 6.1097 7.1000 14.1148
angles (deg): 90.00 90.00 106.42
Element x y z (fractional)
Sr  0.4479  0.8627  0.8869
Sr  0.0697  0.7609  0.2344
Sr  0.5521  0.1373  0.1131
Sr  0.9303  0.2391  0.7656
Sr  0.4479  0.3627  0.6131
Sr  0.0697  0.2609  0.2656
Sr  0.9303  0.7391  0.7344
Sr  0.5521  0.6373  0.3869
Tl  0.4528  0.8624  0.6066
Tl  0.0000  0.0000  0.0000
Tl  0.5472  0.1376  0.3934
Tl  0.0000  0.0000  0.5000
Tl  0.4528  0.3624  0.8934
Tl  0.0000  0.5000  0.5000
Tl  0.5472  0.6376  0.1066
Tl  0.0000  0.5000  0.0000
O  0.8389  0.9645  0.3619
O  0.6341  0.9201  0.7345
O  0.2685  0.8169  0.0552
O  0.8545  0.9638  0.1399
O  0.2936  0.8224  0.4658
O  0.1611  0.0355  0.6381
O  0.7315  0.1831  0.9448
O  0.1455  0.0362  0.8601
O  0.7064  0.1776  0.5342
O  0.3659  0.0799  0.2655
O  0.8545  0.4638  0.3601
O  0.8389  0.4645  0.1381
O  0.6341  0.4201  0.7655
O  0.2685  0.3169  0.4448
O  0.2936  0.3224  0.0342
O  0.7064  0.6776  0.9658
O  0.7315  0.6831  0.5552
O  0.3659  0.5799  0.2345
O  0.1611  0.5355  0.8619
O  0.1455  0.5362  0.6399

2.
Computed, not measured: a relaxed Sr2Tl2O5 crystal at the PBE-GGA level of DFT.

a b c (Å): 6.0918 6.2829 9.2359
angles (deg): 109.89 109.26 90.00
Element x y z (fractional)
Sr  0.5917  0.1271  0.2215
Sr  0.3702  0.8729  0.7785
Sr  0.0917  0.5944  0.2215
Sr  0.8702  0.4056  0.7785
Tl  0.9990  0.0000  0.0000
Tl  0.4990  0.5000  0.0000
Tl  0.2168  0.2023  0.5000
Tl  0.7168  0.7977  0.5000
O  0.2137  0.2321  0.9430
O  0.2707  0.7679  0.0570
O  0.7137  0.2109  0.9430
O  0.7707  0.7891  0.0570
O  0.2144  0.2443  0.2789
O  0.9355  0.7557  0.7211
O  0.7144  0.5346  0.2789
O  0.4355  0.4654  0.7211
O  0.8520  0.1347  0.5000
O  0.3520  0.8653  0.5000

Structures ranked by computed energy, the most stable listed first: 1, 2.

1.
Computed, not measured: a relaxed Sr2Tl2O5 crystal at the PBE-GGA level of DFT.

a b c (Å): 6.1095 6.1095 14.0653
angles (deg): 90.00 90.00 146.08
Element x y z (fractional)
Sr  0.9669  0.0331  0.2646
Sr  0.0331  0.9669  0.7646
Sr  0.2118  0.7882  0.1109
Sr  0.7882  0.2118  0.6109
Tl  0.4875  0.5125  0.9989
Tl  0.5125  0.4875  0.4989
Tl  0.7623  0.2377  0.8910
Tl  0.2377  0.7623  0.3910
O  0.8813  0.1187  0.4437
O  0.1619  0.8381  0.5331
O  0.8381  0.1619  0.0331
O  0.1187  0.8813  0.9437
O  0.3188  0.6812  0.2580
O  0.6812  0.3188  0.7580
O  0.5952  0.4048  0.3605
O  0.4409  0.5591  0.6394
O  0.5591  0.4409  0.1394
O  0.4048  0.5952  0.8605

2.
Computed, not measured: a relaxed Sr2Tl2O5 crystal at the PBE-GGA level of DFT.

a b c (Å): 4.2365 6.4191 6.9329
angles (deg): 120.46 90.00 109.27
Element x y z (fractional)
Sr  0.3785  0.7570  0.7276
Sr  0.6215  0.2430  0.2724
Tl  0.1130  0.2260  0.8031
Tl  0.8870  0.7740  0.1969
O  0.3550  0.7099  0.0725
O  0.6450  0.2901  0.9275
O  0.1314  0.2627  0.5017
O  0.8686  0.7373  0.4983
O  0.0000  0.0000  0.0000

Structures ranked by computed energy, the most stable listed first: 1, 2.